VASP calculation (PBE) on a relaxed Ag5Pb3F12 crystal.

Summary:
The calculation puts the density of states at the Fermi level at 64.52 states/eV per cell. The calculation puts the raw formation energy at -1595 meV/atom. The electronic total energy comes out at -318.97 eV for the cell shown. The total magnetization is 1.2 μB/f.u.

a = 12.2955 Å, b = 12.2955 Å, c = 12.2955 Å
α = 109.47°, β = 109.47°, γ = 109.47°
Positions (direct):
1 Ag 0.0000 0.0000 0.0000
2 Ag 0.0000 0.0000 0.5000
3 Ag 0.0000 0.5000 0.0000
4 Ag 0.0000 0.5000 0.5000
5 Ag 0.1250 0.7500 0.8750
6 Ag 0.1250 0.8750 0.2500
7 Ag 0.2500 0.1250 0.8750
8 Ag 0.2500 0.6250 0.3750
9 Ag 0.3750 0.2500 0.6250
10 Ag 0.3750 0.6250 0.7500
11 Ag 0.5000 0.0000 0.0000
12 Ag 0.5000 0.0000 0.5000
13 Ag 0.5000 0.5000 0.0000
14 Ag 0.5000 0.5000 0.5000
15 Ag 0.6250 0.3750 0.2500
16 Ag 0.6250 0.7500 0.3750
17 Ag 0.7500 0.3750 0.6250
18 Ag 0.7500 0.8750 0.1250
19 Ag 0.8750 0.1250 0.7500
20 Ag 0.8750 0.2500 0.1250
21 Pb 0.1250 0.2500 0.3750
22 Pb 0.1250 0.3750 0.7500
23 Pb 0.2500 0.3750 0.1250
24 Pb 0.2500 0.8750 0.6250
25 Pb 0.3750 0.1250 0.2500
26 Pb 0.3750 0.7500 0.1250
27 Pb 0.6250 0.2500 0.8750
28 Pb 0.6250 0.8750 0.7500
29 Pb 0.7500 0.1250 0.3750
30 Pb 0.7500 0.6250 0.8750
31 Pb 0.8750 0.6250 0.2500
32 Pb 0.8750 0.7500 0.6250
33 F 0.0530 0.2216 0.1348
34 F 0.0530 0.3314 0.9182
35 F 0.0818 0.6348 0.4132
36 F 0.0818 0.9470 0.6686
37 F 0.0868 0.7216 0.6686
38 F 0.0868 0.8652 0.4182
39 F 0.1348 0.0530 0.2216
40 F 0.1348 0.5818 0.9132
41 F 0.1686 0.2216 0.5868
42 F 0.1686 0.4470 0.5818
43 F 0.2216 0.1348 0.0530
44 F 0.2216 0.5868 0.1686
45 F 0.2784 0.3314 0.9132
46 F 0.2784 0.4470 0.3652
47 F 0.3314 0.9132 0.2784
48 F 0.3314 0.9182 0.0530
49 F 0.3652 0.2784 0.4470
50 F 0.3652 0.5868 0.9182
51 F 0.4132 0.0818 0.6348
52 F 0.4132 0.8314 0.7784
53 F 0.4182 0.0868 0.8652
54 F 0.4182 0.8314 0.5530
55 F 0.4470 0.3652 0.2784
56 F 0.4470 0.5818 0.1686
57 F 0.5530 0.4182 0.8314
58 F 0.5530 0.6348 0.7216
59 F 0.5818 0.1686 0.4470
60 F 0.5818 0.9132 0.1348
61 F 0.5868 0.1686 0.2216
62 F 0.5868 0.9182 0.3652
63 F 0.6348 0.4132 0.0818
64 F 0.6348 0.7216 0.5530
65 F 0.6686 0.0818 0.9470
66 F 0.6686 0.0868 0.7216
67 F 0.7216 0.5530 0.6348
68 F 0.7216 0.6686 0.0868
69 F 0.7784 0.4132 0.8314
70 F 0.7784 0.8652 0.9470
71 F 0.8314 0.5530 0.4182
72 F 0.8314 0.7784 0.4132
73 F 0.8652 0.4182 0.0868
74 F 0.8652 0.9470 0.7784
75 F 0.9132 0.1348 0.5818
76 F 0.9132 0.2784 0.3314
77 F 0.9182 0.0530 0.3314
78 F 0.9182 0.3652 0.5868
79 F 0.9470 0.6686 0.0818
80 F 0.9470 0.7784 0.8652